Compound: MgZnCd2
Source: Alexandria via LeMat-Bulk
Functional: SCAN
Structure: single point on PBEsol structure

## Properties
**Energy relative to the elements**: -35 meV per atom
**ΔE to the lowest computed polymorph**: 7 meV per atom
**Calculated density**: 6.8 g/cm3
**Spin magnetization**: 0.000 Bohr magnetons per cell
**Volume**: 76.86 Å³/f.u.

Structure (CIF):
```
data_MgZnCd2
_symmetry_space_group_name_H-M 'P 4 m m'
_symmetry_Int_Tables_number 99
_symmetry_space_group_name_Hall 'P 4 -2'
_cell_length_a 3.0333
_cell_length_b 3.0333
_cell_length_c 8.3534
_cell_angle_alpha 90.00
_cell_angle_beta 90.00
_cell_angle_gamma 90.00
loop_
_atom_site_label
_atom_site_type_symbol
_atom_site_fract_x
_atom_site_fract_y
_atom_site_fract_z
_atom_site_occupancy
Mg1 Mg 0.0000 0.0000 0.0000 1
Zn1 Zn 0.5000 0.5000 0.2277 1
Cd1 Cd 0.0000 0.0000 0.4585 1
Cd2 Cd 0.5000 0.5000 0.7311 1
```



Compound: V6O11
Source: Alexandria via LeMat-Bulk
Functional: SCAN
Structure: single point on PBEsol structure

## Properties
**ΔE to the lowest computed polymorph**: 0 meV per atom
**Calculated density**: 4.8 g/cm3
**Spin magnetization**: 16.000 Bohr magnetons per cell
**Volume**: 166.58 Å³/f.u.
**Energy relative to the elements, uncorrected**: -2.6702 eV/atom

Structure (CIF):
```
data_V6O11
_symmetry_space_group_name_H-M 'P -1'
_symmetry_Int_Tables_number 2
_symmetry_space_group_name_Hall '-P 1'
_cell_length_a 5.4129
_cell_length_b 6.9883
_cell_length_c 9.5218
_cell_angle_alpha 90.23
_cell_angle_beta 100.77
_cell_angle_gamma 109.28
loop_
_atom_site_label
_atom_site_type_symbol
_atom_site_fract_x
_atom_site_fract_y
_atom_site_fract_z
_atom_site_occupancy
V1 V 0.1695 0.1930 0.4325 1
V2 V 0.1784 0.6944 0.4369 1
V3 V 0.2250 0.6388 0.0842 1
V4 V 0.2339 0.1378 0.0847 1
V5 V 0.3122 0.0784 0.7401 1
V6 V 0.3207 0.5836 0.7447 1
O1 O 0.0126 0.4038 0.3901 1
O2 O 0.0556 0.0752 0.2513 1
O3 O 0.0984 0.8564 0.0280 1
O4 O 0.1299 0.5199 0.8904 1
O5 O 0.1867 0.3021 0.6467 1
O6 O 0.2129 0.9588 0.5323 1
O7 O 0.3341 0.7572 0.2861 1
O8 O 0.3595 0.4247 0.1507 1
O9 O 0.4094 0.1990 0.9256 1
O10 O 0.4359 0.8648 0.7958 1
O11 O 0.4791 0.6805 0.5664 1
```



Compound: FeCl3
Source: Alexandria via LeMat-Bulk
Functional: SCAN
Structure: single point on PBEsol structure

## Properties
**Calculated density**: 2.4 g/cm3
**Spin magnetization**: 10.000 Bohr magnetons per cell
**Volume**: 113.69 Å³/f.u.
**Energy relative to the elements, uncorrected**: -0.9522 eV/atom

Structure (CIF):
```
data_FeCl3
_symmetry_space_group_name_H-M 'P 1'
_symmetry_Int_Tables_number 1
_symmetry_space_group_name_Hall 'P 1'
_cell_length_a 3.6525
_cell_length_b 7.1090
_cell_length_c 9.4372
_cell_angle_alpha 74.01
_cell_angle_beta 79.75
_cell_angle_gamma 76.52
loop_
_atom_site_label
_atom_site_type_symbol
_atom_site_fract_x
_atom_site_fract_y
_atom_site_fract_z
_atom_site_occupancy
Fe1 Fe 0.0000 0.0000 0.0000 1
Fe2 Fe 0.0591 0.4065 0.4591 1
Cl1 Cl 0.1538 0.7211 0.9437 1
Cl2 Cl 0.1556 0.0976 0.5628 1
Cl3 Cl 0.4625 0.1858 0.8983 1
Cl4 Cl 0.5964 0.4804 0.3051 1
Cl5 Cl 0.9034 0.5863 0.6136 1
Cl6 Cl 0.9065 0.9714 0.2325 1
```



Compound: ZrAgP2
Source: Alexandria via LeMat-Bulk
Functional: SCAN
Structure: single point on PBEsol structure

## Properties
**Energy relative to the elements**: -540 meV per atom
**ΔE to the lowest computed polymorph**: 0 meV per atom
**Calculated density**: 6.3 g/cm3
**Spin magnetization**: 0.000 Bohr magnetons per cell
**Volume**: 69.30 Å³/f.u.

Structure (CIF):
```
data_ZrAgP2
_symmetry_space_group_name_H-M 'P 4 m m'
_symmetry_Int_Tables_number 99
_symmetry_space_group_name_Hall 'P 4 -2'
_cell_length_a 3.6213
_cell_length_b 3.6213
_cell_length_c 5.2844
_cell_angle_alpha 90.00
_cell_angle_beta 90.00
_cell_angle_gamma 90.00
loop_
_atom_site_label
_atom_site_type_symbol
_atom_site_fract_x
_atom_site_fract_y
_atom_site_fract_z
_atom_site_occupancy
Zr1 Zr 0.0000 0.0000 0.0000 1
Ag1 Ag 0.5000 0.5000 0.3689 1
P1 P 0.0000 0.0000 0.4773 1
P2 P 0.5000 0.5000 0.8735 1
```



Compound: Nb3IrO
Source: Alexandria via LeMat-Bulk
Functional: SCAN
Structure: single point on PBEsol structure

## Properties
**Calculated density**: 7.3 g/cm3
**Spin magnetization**: 0.920 Bohr magnetons per cell
**Volume**: 111.07 Å³/f.u.
**Energy relative to the elements, uncorrected**: 1.3073 eV/atom

Structure (CIF):
```
data_Nb3IrO
_symmetry_space_group_name_H-M 'P m -3 m'
_symmetry_Int_Tables_number 221
_symmetry_space_group_name_Hall '-P 4 2 3'
_cell_length_a 4.8069
_cell_length_b 4.8069
_cell_length_c 4.8069
_cell_angle_alpha 90.00
_cell_angle_beta 90.00
_cell_angle_gamma 90.00
loop_
_atom_site_label
_atom_site_type_symbol
_atom_site_fract_x
_atom_site_fract_y
_atom_site_fract_z
_atom_site_occupancy
Nb1 Nb 0.0000 0.0000 0.5000 1
Ir1 Ir 0.0000 0.0000 0.0000 1
O1 O 0.5000 0.5000 0.5000 1
```



Compound: CuNi2Ir
Source: Alexandria via LeMat-Bulk
Functional: SCAN
Structure: single point on PBEsol structure

## Properties
**Energy relative to the elements**: 69 meV per atom
**Calculated density**: 13.2 g/cm3
**Spin magnetization**: 4.027 Bohr magnetons per cell
**Volume**: 46.80 Å³/f.u.

Structure (CIF):
```
data_CuNi2Ir
_symmetry_space_group_name_H-M 'C 1 2/m 1'
_symmetry_Int_Tables_number 12
_symmetry_space_group_name_Hall '-C 2y'
_cell_length_a 8.3843
_cell_length_b 2.5930
_cell_length_c 4.3823
_cell_angle_alpha 90.00
_cell_angle_beta 100.72
_cell_angle_gamma 90.00
loop_
_atom_site_label
_atom_site_type_symbol
_atom_site_fract_x
_atom_site_fract_y
_atom_site_fract_z
_atom_site_occupancy
Cu1 Cu 0.0000 0.0000 0.0000 1
Ni1 Ni 0.2490 0.0000 0.7495 1
Ir1 Ir 0.0000 0.5000 0.5000 1
```



Compound: Ta2SbAu
Source: Alexandria via LeMat-Bulk
Functional: SCAN
Structure: single point on PBEsol structure

## Properties
**Calculated density**: 15.6 g/cm3
**Spin magnetization**: 0.000 Bohr magnetons per cell
**Volume**: 72.39 Å³/f.u.
**Energy relative to the elements, uncorrected**: 0.0903 eV/atom

Structure (CIF):
```
data_Ta2SbAu
_symmetry_space_group_name_H-M 'I m m 2'
_symmetry_Int_Tables_number 44
_symmetry_space_group_name_Hall 'I 2 -2'
_cell_length_a 3.5369
_cell_length_b 4.6087
_cell_length_c 8.8820
_cell_angle_alpha 90.00
_cell_angle_beta 90.00
_cell_angle_gamma 90.00
loop_
_atom_site_label
_atom_site_type_symbol
_atom_site_fract_x
_atom_site_fract_y
_atom_site_fract_z
_atom_site_occupancy
Ta1 Ta 0.0000 0.0000 0.0000 1
Ta2 Ta 0.0000 0.5000 0.2426 1
Sb1 Sb 0.0000 0.5000 0.7507 1
Au1 Au 0.0000 0.0000 0.4891 1
```



Compound: InAg2Pt
Source: Alexandria via LeMat-Bulk
Functional: SCAN
Structure: single point on PBEsol structure

## Properties
**Energy relative to the elements**: -187 meV per atom
**Calculated density**: 12.9 g/cm3
**Spin magnetization**: 0.000 Bohr magnetons per cell
**Volume**: 67.50 Å³/f.u.

Structure (CIF):
```
data_InAg2Pt
_symmetry_space_group_name_H-M 'I -4 m 2'
_symmetry_Int_Tables_number 119
_symmetry_space_group_name_Hall 'I -4 -2'
_cell_length_a 4.1894
_cell_length_b 4.1894
_cell_length_c 7.6921
_cell_angle_alpha 90.00
_cell_angle_beta 90.00
_cell_angle_gamma 90.00
loop_
_atom_site_label
_atom_site_type_symbol
_atom_site_fract_x
_atom_site_fract_y
_atom_site_fract_z
_atom_site_occupancy
In1 In 0.0000 0.0000 0.0000 1
Ag1 Ag 0.0000 0.0000 0.5000 1
Ag2 Ag 0.0000 0.5000 0.2500 1
Pt1 Pt 0.0000 0.5000 0.7500 1
```



Compound: AlCo2Se
Source: Alexandria via LeMat-Bulk
Functional: SCAN
Structure: single point on PBEsol structure

## Properties
**ΔE to the lowest computed polymorph**: 0 meV per atom
**Calculated density**: 7.6 g/cm3
**Spin magnetization**: 1.749 Bohr magnetons per cell
**Volume**: 49.12 Å³/f.u.
**Energy relative to the elements, uncorrected**: 0.0089 eV/atom

Structure (CIF):
```
data_AlCo2Se
_symmetry_space_group_name_H-M 'P 4/m m m'
_symmetry_Int_Tables_number 123
_symmetry_space_group_name_Hall '-P 4 2'
_cell_length_a 4.0255
_cell_length_b 4.0255
_cell_length_c 3.0312
_cell_angle_alpha 90.00
_cell_angle_beta 90.00
_cell_angle_gamma 90.00
loop_
_atom_site_label
_atom_site_type_symbol
_atom_site_fract_x
_atom_site_fract_y
_atom_site_fract_z
_atom_site_occupancy
Al1 Al 0.0000 0.0000 0.0000 1
Co1 Co 0.0000 0.5000 0.5000 1
Se1 Se 0.5000 0.5000 0.0000 1
```



Compound: CsGaBP2HO9
Source: Alexandria via LeMat-Bulk
Functional: SCAN
Structure: single point on PBEsol structure

## Properties
**Calculated density**: 3.7 g/cm3
**Spin magnetization**: 0.000 Bohr magnetons per cell
**Electronic total energy**: -11.831 eV/atom
**Volume**: 190.79 Å³/f.u.

Structure (CIF):
```
data_CsGaBP2HO9
_symmetry_space_group_name_H-M 'P 1 21/c 1'
_symmetry_Int_Tables_number 14
_symmetry_space_group_name_Hall '-P 2ybc'
_cell_length_a 9.4002
_cell_length_b 8.6777
_cell_length_c 9.6534
_cell_angle_alpha 90.00
_cell_angle_beta 104.27
_cell_angle_gamma 90.00
loop_
_atom_site_label
_atom_site_type_symbol
_atom_site_fract_x
_atom_site_fract_y
_atom_site_fract_z
_atom_site_occupancy
Cs1 Cs 0.1929 0.1153 0.0578 1
Ga1 Ga 0.1981 0.6565 0.9338 1
B1 B 0.3405 0.0395 0.7006 1
P1 P 0.0708 0.5679 0.2051 1
P2 P 0.4145 0.7292 0.7234 1
H1 H 0.3965 0.0486 0.5044 1
O1 O 0.0741 0.5160 0.8037 1
O2 O 0.0735 0.6593 0.0701 1
O3 O 0.0955 0.6675 0.3403 1
O4 O 0.1976 0.0572 0.7329 1
O5 O 0.3103 0.0319 0.5421 1
O6 O 0.3385 0.7098 0.5658 1
O7 O 0.3480 0.6308 0.8227 1
O8 O 0.4209 0.1806 0.7539 1
O9 O 0.4235 0.5970 0.2684 1
```



Compound: SrTe2HN
Source: Alexandria via LeMat-Bulk
Functional: SCAN
Structure: single point on PBEsol structure

## Properties
**ΔE to the lowest computed polymorph**: 0 meV per atom
**Calculated density**: 5.7 g/cm3
**Spin magnetization**: 1.960 Bohr magnetons per cell
**Volume**: 104.64 Å³/f.u.

Structure (CIF):
```
data_SrTe2HN
_symmetry_space_group_name_H-M 'P 4/m m m'
_symmetry_Int_Tables_number 123
_symmetry_space_group_name_Hall '-P 4 2'
_cell_length_a 4.3325
_cell_length_b 4.3325
_cell_length_c 5.5748
_cell_angle_alpha 90.00
_cell_angle_beta 90.00
_cell_angle_gamma 90.00
loop_
_atom_site_label
_atom_site_type_symbol
_atom_site_fract_x
_atom_site_fract_y
_atom_site_fract_z
_atom_site_occupancy
Sr1 Sr 0.0000 0.0000 0.0000 1
Te1 Te 0.0000 0.5000 0.5000 1
H1 H 0.5000 0.5000 0.5000 1
N1 N 0.5000 0.5000 0.0000 1
```



Compound: TlAgHg2
Source: Alexandria via LeMat-Bulk
Functional: SCAN
Structure: single point on PBEsol structure

## Properties
**Energy relative to the elements**: 91 meV per atom
**Calculated density**: 13.1 g/cm3
**Spin magnetization**: 0.000 Bohr magnetons per cell
**Volume**: 90.55 Å³/f.u.

Structure (CIF):
```
data_TlAgHg2
_symmetry_space_group_name_H-M 'P 1 2/m 1'
_symmetry_Int_Tables_number 10
_symmetry_space_group_name_Hall '-P 2y'
_cell_length_a 3.2718
_cell_length_b 4.9133
_cell_length_c 5.7509
_cell_angle_alpha 90.00
_cell_angle_beta 101.63
_cell_angle_gamma 90.00
loop_
_atom_site_label
_atom_site_type_symbol
_atom_site_fract_x
_atom_site_fract_y
_atom_site_fract_z
_atom_site_occupancy
Tl1 Tl 0.0000 0.0000 0.0000 1
Ag1 Ag 0.5000 0.0000 0.5000 1
Hg1 Hg 0.3353 0.5000 0.7305 1
```